Record 1
Below is BaSrPm after structural relaxation, with properties calculated at the PBE level.

Unit cell a=6.257 b=6.257 c=6.257 alpha=60.00 beta=60.00 gamma=60.00
Element x y z (fractional)
Ba  0.000  0.000  0.000
Sr  0.500  0.500  0.500
Pm  0.250  0.250  0.250

Properties
space-group type = No. 216
total magnetic moment = 0.75 μB/cell
crystal system = cubic
E_tot = -2.09 eV per atom


Record 2
Below is BaTbPm after structural relaxation, with properties calculated at the PBE level.

Unit cell a=5.837 b=5.837 c=5.837 alpha=60.00 beta=60.00 gamma=60.00
Element x y z (fractional)
Ba  0.000  0.000  0.000
Tb  0.500  0.500  0.500
Pm  0.250  0.250  0.250

Properties
space-group type = No. 216
total magnetic moment = 0.03 μB/cell
crystal system = cubic
E_tot = -2.95 eV per atom


Record 3
Below is BaPmTc after structural relaxation, with properties calculated at the PBE level.

Unit cell a=5.061 b=5.061 c=5.061 alpha=60.00 beta=60.00 gamma=60.00
Element x y z (fractional)
Ba  0.000  0.000  0.000
Pm  0.250  0.250  0.250
Tc  0.500  0.500  0.500

Properties
space-group type = No. 216
total magnetic moment = 0.31 μB/cell
crystal system = cubic
E_tot = -4.48 eV per atom


Record 4
Below is BaPmTe after structural relaxation, with properties calculated at the PBE level.

Unit cell a=5.481 b=5.481 c=5.481 alpha=60.00 beta=60.00 gamma=60.00
Element x y z (fractional)
Ba  0.000  0.000  0.000
Pm  0.500  0.500  0.500
Te  0.250  0.250  0.250

Properties
space-group type = No. 216
total magnetic moment = 0.71 μB/cell
crystal system = cubic
E_tot = -3.89 eV per atom